<P>
Below is TlVB2 after structural relaxation, with properties calculated at the PBE level.

a b c (Å): 5.7887 5.7887 7.2013
angles (deg): 90.00 90.00 90.00
With the nearest neighbours (Å) after each atom.
Space group I-42d (No. 122)
Asymmetric unit:
Tl 0.0000 0.0000 0.0000 [4 per cell]  4 B 2.40
V 0.0000 0.0000 0.5000 [4 per cell]  4 B 2.09
B 0.2083 0.2500 0.6250 [8 per cell]  2 V 2.09

Computed properties:
Fermi-level density of states: 2.1 states/eV/f.u.

***

<Q>
Below is TlVB2 after structural relaxation, with properties calculated at the PBE level.

a b c (Å): 5.8483 5.8483 5.8483
angles (deg): 90.00 90.00 90.00
With the nearest neighbours (Å) after each atom.
Space group Fm-3m (No. 225)
Asymmetric unit:
Tl 0.0000 0.0000 0.0000 [4 per cell]  8 B 2.53
V 0.0000 0.0000 0.5000 [4 per cell]  8 B 2.53
B 0.2500 0.2500 0.2500 [8 per cell]  4 Tl 2.53, 4 V 2.53

Computed properties:
Fermi-level density of states: 2.7 states/eV/f.u.

***

Q: Which of them is the most stable? A: <P>.

***

<P>
Below is TlBW3 after structural relaxation, with properties calculated at the PBE level.

a b c (Å): 4.2930 4.2930 4.2930
angles (deg): 90.00 90.00 90.00
With the nearest neighbours (Å) after each atom.
Space group Pm-3m (No. 221)
Asymmetric unit:
Tl 0.0000 0.0000 0.0000 [1 per cell]  12 W 3.04
B 0.5000 0.5000 0.5000 [1 per cell]  6 W 2.15
W 0.0000 0.5000 0.5000 [3 per cell]  2 B 2.15

Computed properties:
Fermi-level density of states: 3.7 states/eV/f.u.

***

<Q>
Below is TlBW3 after structural relaxation, with properties calculated at the PBE level.

a b c (Å): 4.9622 4.9622 4.9622
angles (deg): 90.00 90.00 90.00
With the nearest neighbours (Å) after each atom.
Space group Pm-3m (No. 221)
Asymmetric unit:
Tl 0.0000 0.0000 0.0000 [1 per cell]  6 W 2.48
B 0.5000 0.5000 0.5000 [1 per cell]  12 W 3.51
W 0.0000 0.0000 0.5000 [3 per cell]  2 Tl 2.48

Computed properties:
Fermi-level density of states: 6.9 states/eV/f.u.

***

Q: Which of them is the most stable? A: <P>.

***

<P>
Below is TlB2W after structural relaxation, with properties calculated at the PBE level.

a b c (Å): 5.9358 5.9358 5.9358
angles (deg): 90.00 90.00 90.00
With the nearest neighbours (Å) after each atom.
Space group Fm-3m (No. 225)
Asymmetric unit:
Tl 0.0000 0.0000 0.0000 [4 per cell]  8 B 2.57
B 0.2500 0.2500 0.2500 [8 per cell]  4 W 2.57, 4 Tl 2.57
W 0.0000 0.0000 0.5000 [4 per cell]  8 B 2.57

Computed properties:
Fermi-level density of states: 2.4 states/eV/f.u.

***

<Q>
Below is TlB2W after structural relaxation, with properties calculated at the PBE level.

a b c (Å): 5.4921 5.4921 9.2484
angles (deg): 90.00 90.00 90.00
With the nearest neighbours (Å) after each atom.
Space group I-42d (No. 122)
Asymmetric unit:
Tl 0.0000 0.0000 0.0000 [4 per cell]  4 B 2.45
B 0.1964 0.2500 0.6250 [8 per cell]  2 W 2.09
W 0.0000 0.0000 0.5000 [4 per cell]  4 B 2.09

Computed properties:
Fermi-level density of states: 2.1 states/eV/f.u.

***

Q: Which of them is the most stable? A: <Q>.